Arrangement w

# In2As2Br

A geometry-optimized In2As2Br structure (PBE, Alexandria).

Magnetic moment, μB/cell: 0.00
Calculated volume, Å³/f.u.: 127.8
Crystal system: tetragonal

Lattice parameters (Å, degrees): 5.277 5.277 9.178 90.00 90.00 90.00
Space group I4/mmm (No. 139)
Unique sites:
In 0.000 0.500 0.250 x4
As 0.000 0.000 0.134 x4
Br 0.000 0.000 0.500 x2


Arrangement x

# In2As2Br

A geometry-optimized In2As2Br structure (PBE, Alexandria).

Magnetic moment, μB/cell: 0.00
Calculated volume, Å³/f.u.: 120.4
Crystal system: tetragonal

Lattice parameters (Å, degrees): 8.298 8.298 3.499 90.00 90.00 90.00
Space group P4/mbm (No. 127)
Unique sites:
In 0.165 0.335 0.000 x4
As 0.131 0.631 0.500 x4
Br 0.000 0.000 0.000 x2


Stability verdict: arrangement w, ahead by 335 meV/atom